# 1
DFT (PBE) results for a geometry-optimized V2Ni2Mo structure.

CIF file:
```
data_V2Ni2Mo
_space_group_name_H-M_alt 'P 4/m b m'
_space_group_IT_number 127
_space_group_name_Hall '-P 4 2ab'
_cell_length_a 7.150
_cell_length_b 7.150
_cell_length_c 2.533
_cell_angle_alpha 90.00
_cell_angle_beta 90.00
_cell_angle_gamma 90.00
loop_
_atom_site_label
_atom_site_fract_x
_atom_site_fract_y
_atom_site_fract_z
_atom_site_occupancy
V1 0.173 0.327 0.000 1
Ni1 0.122 0.622 0.500 1
Mo1 0.000 0.000 0.500 1
```

Energy of formation   -0.04 eV per atom
Excess energy over the best structure of this formula in the dataset   0.000 eV/atom
V   12.947 Å³/atom

=====

# 2
DFT (PBE) results for a geometry-optimized VNi9Mo2 structure.

CIF file:
```
data_VNi9Mo2
_space_group_name_H-M_alt 'R -3 m'
_space_group_IT_number 166
_space_group_name_Hall '-R 3 2"'
_cell_length_a 4.6542
_cell_length_b 4.6542
_cell_length_c 23.4052
_cell_angle_alpha 90.00
_cell_angle_beta 90.00
_cell_angle_gamma 120.00
loop_
_atom_site_label
_atom_site_fract_x
_atom_site_fract_y
_atom_site_fract_z
_atom_site_occupancy
V1 0.0000 0.0000 0.0000 1
Ni1 0.0000 0.0000 0.3332 1
Ni2 0.0000 0.0000 0.5000 1
Ni3 0.0029 0.5015 0.9151 1
Mo1 0.0000 0.0000 0.1460 1
```

Energy of formation   0.08 eV per atom
V   12.196 Å³/atom

=====

# 3
DFT (PBE) results for a geometry-optimized VNi2Mo2 structure.

CIF file:
```
data_VNi2Mo2
_space_group_name_H-M_alt 'P 4/m b m'
_space_group_IT_number 127
_space_group_name_Hall '-P 4 2ab'
_cell_length_a 6.294
_cell_length_b 6.294
_cell_length_c 3.451
_cell_angle_alpha 90.00
_cell_angle_beta 90.00
_cell_angle_gamma 90.00
loop_
_atom_site_label
_atom_site_fract_x
_atom_site_fract_y
_atom_site_fract_z
_atom_site_occupancy
V1 0.000 0.000 0.000 1
Ni1 0.129 0.371 0.000 1
Mo1 0.171 0.671 0.500 1
```

Energy of formation   0.15 eV per atom
V   13.669 Å³/atom

=====

# 4
DFT (PBE) results for a geometry-optimized VNiMoW structure.

CIF file:
```
data_VNiMoW
_space_group_name_H-M_alt 'F -4 3 m'
_space_group_IT_number 216
_space_group_name_Hall 'F -4 2 3'
_cell_length_a 6.112
_cell_length_b 6.112
_cell_length_c 6.112
_cell_angle_alpha 90.00
_cell_angle_beta 90.00
_cell_angle_gamma 90.00
loop_
_atom_site_label
_atom_site_fract_x
_atom_site_fract_y
_atom_site_fract_z
_atom_site_occupancy
V1 0.000 0.000 0.000 1
Ni1 0.250 0.250 0.750 1
Mo1 0.250 0.250 0.250 1
W1 0.000 0.000 0.500 1
```

Energy of formation   0.10 eV per atom
V   14.268 Å³/atom

=====

# 5
DFT (PBE) results for a geometry-optimized ZrVNiMo structure.

CIF file:
```
data_ZrVNiMo
_space_group_name_H-M_alt 'F -4 3 m'
_space_group_IT_number 216
_space_group_name_Hall 'F -4 2 3'
_cell_length_a 6.286
_cell_length_b 6.286
_cell_length_c 6.286
_cell_angle_alpha 90.00
_cell_angle_beta 90.00
_cell_angle_gamma 90.00
loop_
_atom_site_label
_atom_site_fract_x
_atom_site_fract_y
_atom_site_fract_z
_atom_site_occupancy
Zr1 0.000 0.000 0.000 1
V1 0.000 0.000 0.500 1
Ni1 0.250 0.250 0.250 1
Mo1 0.250 0.250 0.750 1
```

Energy of formation   -0.05 eV per atom
V   15.526 Å³/atom

=====

# 6
DFT (PBE) results for a geometry-optimized NiMoW3 structure.

CIF file:
```
data_NiMoW3
_space_group_name_H-M_alt 'P m -3 m'
_space_group_IT_number 221
_space_group_name_Hall '-P 4 2 3'
_cell_length_a 4.685
_cell_length_b 4.685
_cell_length_c 4.685
_cell_angle_alpha 90.00
_cell_angle_beta 90.00
_cell_angle_gamma 90.00
loop_
_atom_site_label
_atom_site_fract_x
_atom_site_fract_y
_atom_site_fract_z
_atom_site_occupancy
Ni1 0.000 0.000 0.000 1
Mo1 0.500 0.500 0.500 1
W1 0.000 0.500 0.500 1
```

Energy of formation   2.31 eV per atom
Excess energy over the best structure of this formula in the dataset   0.727 eV/atom
V   20.573 Å³/atom

=====

# 7
DFT (PBE) results for a geometry-optimized NiMo4W structure.

CIF file:
```
data_NiMo4W
_space_group_name_H-M_alt 'F -4 3 m'
_space_group_IT_number 216
_space_group_name_Hall 'F -4 2 3'
_cell_length_a 7.280
_cell_length_b 7.280
_cell_length_c 7.280
_cell_angle_alpha 90.00
_cell_angle_beta 90.00
_cell_angle_gamma 90.00
loop_
_atom_site_label
_atom_site_fract_x
_atom_site_fract_y
_atom_site_fract_z
_atom_site_occupancy
Ni1 0.000 0.000 0.000 1
Mo1 0.125 0.125 0.375 1
W1 0.250 0.250 0.750 1
```

Energy of formation   0.45 eV per atom
V   16.074 Å³/atom

=====

# 8
DFT (PBE) results for a geometry-optimized NiMoW structure.

CIF file:
```
data_NiMoW
_space_group_name_H-M_alt 'I 4 m m'
_space_group_IT_number 107
_space_group_name_Hall 'I 4 -2'
_cell_length_a 2.661
_cell_length_b 2.661
_cell_length_c 12.152
_cell_angle_alpha 90.00
_cell_angle_beta 90.00
_cell_angle_gamma 90.00
loop_
_atom_site_label
_atom_site_fract_x
_atom_site_fract_y
_atom_site_fract_z
_atom_site_occupancy
Ni1 0.000 0.000 0.000 1
Mo1 0.000 0.000 0.344 1
W1 0.000 0.000 0.654 1
```

Energy of formation   0.07 eV per atom
Excess energy over the best structure of this formula in the dataset   0.028 eV/atom
V   14.337 Å³/atom

=====

# 9
DFT (PBE) results for a geometry-optimized NiMoW4 structure.

CIF file:
```
data_NiMoW4
_space_group_name_H-M_alt 'F -4 3 m'
_space_group_IT_number 216
_space_group_name_Hall 'F -4 2 3'
_cell_length_a 7.354
_cell_length_b 7.354
_cell_length_c 7.354
_cell_angle_alpha 90.00
_cell_angle_beta 90.00
_cell_angle_gamma 90.00
loop_
_atom_site_label
_atom_site_fract_x
_atom_site_fract_y
_atom_site_fract_z
_atom_site_occupancy
Ni1 0.000 0.000 0.000 1
Mo1 0.250 0.250 0.250 1
W1 0.125 0.125 0.625 1
```

Energy of formation   0.53 eV per atom
V   16.575 Å³/atom

=====

# 10
DFT (PBE) results for a geometry-optimized NiMoW3 structure.

CIF file:
```
data_NiMoW3
_space_group_name_H-M_alt 'P m -3 m'
_space_group_IT_number 221
_space_group_name_Hall '-P 4 2 3'
_cell_length_a 4.446
_cell_length_b 4.446
_cell_length_c 4.446
_cell_angle_alpha 90.00
_cell_angle_beta 90.00
_cell_angle_gamma 90.00
loop_
_atom_site_label
_atom_site_fract_x
_atom_site_fract_y
_atom_site_fract_z
_atom_site_occupancy
Ni1 0.000 0.000 0.000 1
Mo1 0.500 0.500 0.500 1
W1 0.000 0.000 0.500 1
```

Energy of formation   1.58 eV per atom
Excess energy over the best structure of this formula in the dataset   0.000 eV/atom
V   17.575 Å³/atom

=====

# 11
DFT (PBE) results for a geometry-optimized NiMo3W structure.

CIF file:
```
data_NiMo3W
_space_group_name_H-M_alt 'P m -3 m'
_space_group_IT_number 221
_space_group_name_Hall '-P 4 2 3'
_cell_length_a 4.428
_cell_length_b 4.428
_cell_length_c 4.428
_cell_angle_alpha 90.00
_cell_angle_beta 90.00
_cell_angle_gamma 90.00
loop_
_atom_site_label
_atom_site_fract_x
_atom_site_fract_y
_atom_site_fract_z
_atom_site_occupancy
Ni1 0.000 0.000 0.000 1
Mo1 0.000 0.000 0.500 1
W1 0.500 0.500 0.500 1
```

Energy of formation   1.46 eV per atom
Excess energy over the best structure of this formula in the dataset   0.000 eV/atom
V   17.362 Å³/atom

=====

# 12
DFT (PBE) results for a geometry-optimized NiMoW structure.

CIF file:
```
data_NiMoW
_space_group_name_H-M_alt 'I 4 m m'
_space_group_IT_number 107
_space_group_name_Hall 'I 4 -2'
_cell_length_a 3.227
_cell_length_b 3.227
_cell_length_c 8.393
_cell_angle_alpha 90.00
_cell_angle_beta 90.00
_cell_angle_gamma 90.00
loop_
_atom_site_label
_atom_site_fract_x
_atom_site_fract_y
_atom_site_fract_z
_atom_site_occupancy
Ni1 0.000 0.000 0.000 1
Mo1 0.000 0.000 0.330 1
W1 0.000 0.000 0.665 1
```

Energy of formation   0.23 eV per atom
Excess energy over the best structure of this formula in the dataset   0.185 eV/atom
V   14.566 Å³/atom

=====

# 13
DFT (PBE) results for a geometry-optimized NiMoW structure.

CIF file:
```
data_NiMoW
_space_group_name_H-M_alt 'I m m 2'
_space_group_IT_number 44
_space_group_name_Hall 'I 2 -2'
_cell_length_a 2.617
_cell_length_b 3.996
_cell_length_c 8.366
_cell_angle_alpha 90.00
_cell_angle_beta 90.00
_cell_angle_gamma 90.00
loop_
_atom_site_label
_atom_site_fract_x
_atom_site_fract_y
_atom_site_fract_z
_atom_site_occupancy
Ni1 0.000 0.000 0.000 1
Mo1 0.000 0.000 0.335 1
W1 0.000 0.000 0.662 1
```

Energy of formation   0.22 eV per atom
Excess energy over the best structure of this formula in the dataset   0.175 eV/atom
V   14.579 Å³/atom

=====

In the order shown, the computed DOS(E_F) values come out to 11.8 55.7 12.2 24.4 15.1 4.9 28.4 4.4 26.9 8.5 9.2 9.3 8.4 states/eV/cell.